A plane-wave DFT calculation with SCAN was carried out for a PBEsol-optimized structure of Mn3PdN.

Unit cell a=4.7415 b=4.7415 c=4.7415 alpha=90.00 beta=90.00 gamma=90.00
Last column: nearest neighbours and their distance in Å.
Space group Pm-3m (No. 221)
Unique sites:
1 Mn 0.0000 0.0000 0.5000  2 Pd 2.37
2 Pd 0.0000 0.0000 0.0000  6 Mn 2.37
3 N 0.5000 0.5000 0.5000  12 Mn 3.35

* formation energy (no corrections): 1288 meV/atom
* D(E_F): 2.9 states/eV per cell
* raw total energy: -90.39 eV per formula unit
* magnetic moment: 12.43 μB per formula unit

A plane-wave DFT calculation with SCAN was carried out for a PBEsol-optimized structure of NpGa5Ni.

Unit cell a=4.1667 b=4.1667 c=6.7214 alpha=90.00 beta=90.00 gamma=90.00
Last column: nearest neighbours and their distance in Å.
Space group P4/mmm (No. 123)
Unique sites:
1 Np 0.0000 0.0000 0.0000  12 Ga 2.92-2.95
2 Ga 0.0000 0.5000 0.3050  2 Ni 2.46, 1 Ga 2.62
3 Ga 0.5000 0.5000 0.0000  8 Ga 2.92, 4 Np 2.95
4 Ni 0.0000 0.0000 0.5000  8 Ga 2.46

* D(E_F): 11.0 states/eV per cell
* raw total energy: -206.85 eV per formula unit
* magnetic moment: 3.76 μB per formula unit

A plane-wave DFT calculation with SCAN was carried out for a PBEsol-optimized structure of Ba2RuSe.

Unit cell a=7.3870 b=7.3870 c=7.3870 alpha=90.00 beta=90.00 gamma=90.00
Last column: nearest neighbours and their distance in Å.
Space group F-43m (No. 216)
Unique sites:
1 Ba 0.0000 0.0000 0.0000  4 Ba 3.20, 4 Se 3.20
2 Ba 0.2500 0.2500 0.2500  4 Ba 3.20, 4 Ru 3.20
3 Ru 0.0000 0.0000 0.5000  4 Se 3.20, 4 Ba 3.20
4 Se 0.2500 0.2500 0.7500  4 Ba 3.20, 4 Ru 3.20

* formation energy (no corrections): 119 meV/atom
* D(E_F): 7.3 states/eV per cell
* raw total energy: -133.53 eV per formula unit
* magnetic moment: 0.00 μB per formula unit

A plane-wave DFT calculation with SCAN was carried out for a PBEsol-optimized structure of CdSi3W.

Unit cell a=4.7780 b=4.7780 c=4.7780 alpha=90.00 beta=90.00 gamma=90.00
Last column: nearest neighbours and their distance in Å.
Space group Pm-3m (No. 221)
Unique sites:
1 Cd 0.0000 0.0000 0.0000  6 Si 2.39
2 Si 0.0000 0.0000 0.5000  2 Cd 2.39
3 W 0.5000 0.5000 0.5000  12 Si 3.38

* formation energy (no corrections): 2287 meV/atom
* D(E_F): 3.4 states/eV per cell
* raw total energy: -118.72 eV per formula unit
* magnetic moment: 3.23 μB per formula unit

A plane-wave DFT calculation with SCAN was carried out for a PBEsol-optimized structure of AgBi2Rh.

Unit cell a=7.7217 b=7.7217 c=6.2284 alpha=90.00 beta=90.00 gamma=90.00
Last column: nearest neighbours and their distance in Å.
Space group I-42d (No. 122)
Unique sites:
1 Ag 0.0000 0.0000 0.0000  4 Bi 3.01, 2 Rh 3.11
2 Bi 0.2186 0.2500 0.6250  2 Rh 2.68
3 Rh 0.0000 0.0000 0.5000  4 Bi 2.68

* D(E_F): 10.4 states/eV per cell
* raw total energy: -221.18 eV per formula unit
* magnetic moment: 0.00 μB per formula unit

A plane-wave DFT calculation with SCAN was carried out for a PBEsol-optimized structure of YEr2Al9.

Unit cell a=6.0257 b=6.0257 c=28.3941 alpha=90.00 beta=90.00 gamma=120.00
Last column: nearest neighbours and their distance in Å.
Space group P-6m2 (No. 187)
Unique sites:
1 Y 0.0000 0.0000 0.0000  12 Al 2.94-3.02
2 Y 0.0000 0.0000 0.3330  12 Al 2.94-3.02
3 Y 0.3333 0.6667 0.5000  12 Al 2.94-3.02
4 Er 0.3333 0.6667 0.1666  12 Al 2.93-3.02
5 Er 0.6667 0.3333 0.0833  12 Al 3.01-3.03
6 Er 0.6667 0.3333 0.2499  12 Al 3.01-3.03
7 Er 0.6667 0.3333 0.4166  12 Al 3.01-3.03
8 Al 0.0285 0.5142 0.3332  6 Al 2.76-2.90, 2 Y 3.02, 2 Er 3.03
9 Al 0.0285 0.5143 0.0000  6 Al 2.76-2.90, 2 Y 3.02, 2 Er 3.03
10 Al 0.1666 0.3331 0.4166  8 Al 2.90-3.01, 2 Y 2.94, 2 Er 3.01
11 Al 0.1670 0.3340 0.0836  8 Al 2.89-3.02, 3 Er 2.93-3.01, 1 Y 2.94
12 Al 0.1672 0.3343 0.2496  8 Al 2.89-3.02, 3 Er 2.93-3.01, 1 Y 2.94
13 Al 0.3049 0.1525 0.5000  6 Al 2.76-2.90, 2 Y 3.02, 2 Er 3.03
14 Al 0.3051 0.1525 0.1666  6 Al 2.76-2.89, 4 Er 3.02-3.03

* D(E_F): 10.9 states/eV per cell
* raw total energy: -203.65 eV per formula unit
* magnetic moment: 0.00 μB per formula unit

Question: What is the formula in the first record?
Answer: Mn3PdN